Entry 1:
A plane-wave DFT calculation with GGA-PBE was carried out for a geometry-optimized Be4Cu structure.

a = 5.9074 Å, b = 5.9074 Å, c = 5.9074 Å
α = 151.52°, β = 151.52°, γ = 40.71°
Atoms (fractional coordinates):
Be1 0.2500 0.7500 0.5000
Be2 0.4017 0.4017 0.0000
Cu1 0.0000 0.0000 0.0000
Be3 0.5983 0.5983 0.0000
Be4 0.7500 0.2500 0.5000

* symmetry: I4/mmm, No. 139
* total moment: 0.00 μB/f.u.
* VASP energy: -17.9 eV/f.u.

---

Entry 2:
A plane-wave DFT calculation with GGA-PBE was carried out for a geometry-optimized KTe2PdO8 structure.

a = 5.2959 Å, b = 5.2959 Å, c = 8.7499 Å
α = 90.00°, β = 90.00°, γ = 120.00°
Site moments in Bohr magnetons follow the coordinates.
Atoms (fractional coordinates):
O1 0.0051 0.3138 0.6437  0.06
K1 0.0000 0.0000 0.0000  0.00
Te1 0.3333 0.6667 0.7052  0.02
O2 0.3087 0.9949 0.6437  0.06
O3 0.6862 0.6913 0.6437  0.06
O4 0.9949 0.6862 0.3563  0.06
O5 0.3138 0.3087 0.3563  0.06
O6 0.3333 0.6667 0.9137  0.04
Pd1 0.0000 0.0000 0.5000  0.50
Te2 0.6667 0.3333 0.2948  0.02
O7 0.6913 0.0051 0.3563  0.06
O8 0.6667 0.3333 0.0863  0.04

* symmetry: P-3, No. 147
* formation energy from raw total energies: -0.764 eV per atom
* total moment: 1.06 μB/f.u.
* VASP energy: -61.4 eV/f.u.

---

Entry 3:
A plane-wave DFT calculation with GGA-PBE was carried out for a geometry-optimized NbMo3Se structure.

a = 4.8016 Å, b = 4.8016 Å, c = 4.8016 Å
α = 90.00°, β = 90.00°, γ = 90.00°
Atoms (fractional coordinates):
Mo1 0.5000 0.0000 0.0000
Mo2 0.0000 0.0000 0.5000
Se1 0.5000 0.5000 0.5000
Nb1 0.0000 0.0000 0.0000
Mo3 0.0000 0.5000 0.0000

* symmetry: Pm-3m, No. 221
* formation energy from raw total energies: 1.925 eV per atom
* total moment: 0.00 μB/f.u.
* VASP energy: -36.4 eV/f.u.

---

Entry 4:
A plane-wave DFT calculation with GGA-PBE was carried out for a geometry-optimized Ca2Ga5PdRh2 structure.

a = 3.6582 Å, b = 9.9977 Å, c = 9.9977 Å
α = 90.00°, β = 90.00°, γ = 90.00°
Atoms (fractional coordinates):
Ca1 0.0000 0.1820 0.3180
Rh1 0.0000 0.1190 0.6190
Ga1 0.5000 0.3048 0.5549
Ga2 0.5000 0.8048 0.9451
Ca2 0.0000 0.3180 0.8180
Ga3 0.5000 0.6952 0.4451
Ca3 0.0000 0.6820 0.1820
Rh2 0.0000 0.3810 0.1190
Ga4 0.5000 0.9451 0.1952
Ga5 0.5000 0.4451 0.3048
Ga6 0.5000 0.5000 0.0000
Ga7 0.5000 0.1952 0.0549
Rh3 0.0000 0.8810 0.3810
Ga8 0.5000 0.0549 0.8048
Ga9 0.5000 0.5549 0.6952
Ca4 0.0000 0.8180 0.6820
Ga10 0.5000 0.0000 0.5000
Pd1 0.0000 0.5000 0.5000
Rh4 0.0000 0.6190 0.8810
Pd2 0.0000 0.0000 0.0000

* symmetry: P4/mbm, No. 127
* total moment: 0.00 μB/f.u.
* VASP energy: -44.3 eV/f.u.

---

Entry 5:
A plane-wave DFT calculation with GGA-PBE was carried out for a geometry-optimized LaZrMn2 structure.

a = 8.6949 Å, b = 8.6949 Å, c = 8.6949 Å
α = 22.54°, β = 22.54°, γ = 22.54°
Site moments in Bohr magnetons follow the coordinates.
Atoms (fractional coordinates):
Zr1 0.2500 0.2500 0.2500  -0.59
Mn1 0.5075 0.5075 0.5075  2.99
La1 0.7500 0.7500 0.7500  -0.22
Mn2 0.9925 0.9925 0.9925  2.99

* symmetry: R-3m, No. 166
* total moment: 5.00 μB/f.u.
* VASP energy: -30.0 eV/f.u.

---

Entry 6:
A plane-wave DFT calculation with GGA-PBE was carried out for a geometry-optimized Sm4CuHg structure.

a = 3.6297 Å, b = 3.6297 Å, c = 12.7661 Å
α = 89.99°, β = 89.99°, γ = 90.00°
Site moments in Bohr magnetons follow the coordinates.
Atoms (fractional coordinates):
Sm1 0.9999 0.9999 0.6600  0.11
Sm2 0.4999 0.4999 0.8657  0.10
Cu1 0.0000 0.0000 0.0000  0.02
Hg1 0.5000 0.5000 0.5000  0.00
Sm3 0.0001 0.0001 0.3400  0.11
Sm4 0.5001 0.5001 0.1343  0.10

* symmetry: P4/mmm, No. 123
* total moment: 0.89 μB/f.u.
* VASP energy: -24.4 eV/f.u.

---

Entry 7:
A plane-wave DFT calculation with GGA-PBE was carried out for a geometry-optimized CoNi structure.

a = 4.2759 Å, b = 4.2759 Å, c = 4.2759 Å
α = 130.93°, β = 130.96°, γ = 71.90°
Site moments in Bohr magnetons follow the coordinates.
Atoms (fractional coordinates):
Ni1 0.5000 0.5000 0.0000  0.70
Co1 0.0000 0.0000 0.0000  1.72
Ni2 0.7500 0.2500 0.5000  0.70
Co2 0.2500 0.7500 0.5000  1.72

* symmetry: I4_1/amd, No. 141
* total moment: 2.35 μB/f.u.
* VASP energy: -12.9 eV/f.u.

---

Entry 8:
A plane-wave DFT calculation with GGA-PBE was carried out for a geometry-optimized NaNdPbAu structure.

a = 5.2861 Å, b = 5.2861 Å, c = 5.2861 Å
α = 60.00°, β = 60.00°, γ = 60.00°
Atoms (fractional coordinates):
Au1 0.0000 0.0000 0.0000
Pb1 0.5000 0.5000 0.5000
Na1 0.2500 0.2500 0.2500
Nd1 0.7500 0.7500 0.7500

* symmetry: F-43m, No. 216
* total moment: 0.00 μB/f.u.
* VASP energy: -14.8 eV/f.u.